one.
VASP calculation (GGA-PBE) on an optimized crystal structure of BaBe3O.

The spin magnetization comes out at 0.00 μB per formula unit.

The space group is Pm-3m (No. 221) and the conventional cell measures 4.309, 4.309 and 4.309 Å, with angles of 90.00, 90.00 and 90.00 degrees. The inequivalent atoms are Ba at (0.000, 0.000, 0.000), Be at (0.000, 0.500, 0.500) and O at (0.500, 0.500, 0.500).

---

two.
VASP calculation (GGA-PBE) on an optimized crystal structure of BaBe3O.

The spin magnetization comes out at 0.00 μB per formula unit.

The space group is Pm-3m (No. 221) and the conventional cell measures 6.143, 6.143 and 6.143 Å, with angles of 90.00, 90.00 and 90.00 degrees. The inequivalent atoms are Ba at (0.000, 0.000, 0.000), Be at (0.000, 0.000, 0.500) and O at (0.500, 0.500, 0.500).

---

So which one wins? Going from most stable to least: one, two.

---

one.
VASP calculation (GGA-PBE) on an optimized crystal structure of Ba2BePO.

The spin magnetization comes out at 0.00 μB per formula unit.

The space group is P2_1/m (No. 11) and the conventional cell measures 6.728, 3.924 and 9.216 Å, with angles of 90.00, 109.52 and 90.00 degrees. The inequivalent atoms are Ba at (0.207, 0.250, 0.397), Ba at (0.221, 0.250, 0.960), Be at (0.451, 0.750, 0.242), P at (0.370, 0.750, 0.715) and O at (0.206, 0.750, 0.178).

---

two.
VASP calculation (GGA-PBE) on an optimized crystal structure of Ba2BePO.

The spin magnetization comes out at 0.00 μB per formula unit.

The space group is P4/mmm (No. 123) and the conventional cell measures 6.005, 6.005 and 3.896 Å, with angles of 90.00, 90.00 and 90.00 degrees. The inequivalent atoms are Ba at (0.000, 0.500, 0.000), Be at (0.000, 0.000, 0.500), P at (0.000, 0.000, 0.000) and O at (0.500, 0.500, 0.500).

---

So which one wins? Going from most stable to least: one, two.

---

one.
VASP calculation (GGA-PBE) on an optimized crystal structure of BaBe2Os.

The spin magnetization comes out at 0.00 μB per formula unit.

The space group is R-3m (No. 166, hexagonal axes) and the conventional cell measures 3.9992, 3.9992 and 16.9007 Å, with angles of 90.00, 90.00 and 120.00 degrees. The inequivalent atoms are Ba at (0.0000, 0.0000, 0.0000), Be at (0.0000, 0.0000, 0.1817) and Os at (0.0000, 0.0000, 0.5000).

---

two.
VASP calculation (GGA-PBE) on an optimized crystal structure of BaBe2Os.

The spin magnetization comes out at 0.00 μB per formula unit.

The space group is Imm2 (No. 44) and the conventional cell measures 2.971, 5.318 and 9.276 Å, with angles of 90.00, 90.00 and 90.00 degrees. The inequivalent atoms are Ba at (0.000, 0.000, 0.000), Be at (0.000, 0.000, 0.486), Be at (0.000, 0.500, 0.189) and Os at (0.000, 0.500, 0.804).

---

So which one wins? Going from most stable to least: one, two.

---

one.
VASP calculation (GGA-PBE) on an optimized crystal structure of BaBe3Os.

The spin magnetization comes out at 0.02 μB per formula unit.

The space group is Pm-3m (No. 221) and the conventional cell measures 4.614, 4.614 and 4.614 Å, with angles of 90.00, 90.00 and 90.00 degrees. The inequivalent atoms are Ba at (0.000, 0.000, 0.000), Be at (0.000, 0.000, 0.500) and Os at (0.500, 0.500, 0.500).

---

two.
VASP calculation (GGA-PBE) on an optimized crystal structure of BaBe3Os.

The spin magnetization comes out at 0.00 μB per formula unit.

The space group is Pm-3m (No. 221) and the conventional cell measures 4.514, 4.514 and 4.514 Å, with angles of 90.00, 90.00 and 90.00 degrees. The inequivalent atoms are Ba at (0.000, 0.000, 0.000), Be at (0.000, 0.500, 0.500) and Os at (0.500, 0.500, 0.500).

---

So which one wins? Going from most stable to least: two, one.

---

one.
VASP calculation (GGA-PBE) on an optimized crystal structure of BaBeP.

The spin magnetization comes out at 0.23 μB per formula unit.

The space group is P-6m2 (No. 187) and the conventional cell measures 3.8418, 3.8418 and 5.1055 Å, with angles of 90.00, 90.00 and 120.00 degrees. The inequivalent atoms are Ba at (0.0000, 0.0000, 0.0000), Be at (0.3333, 0.6667, 0.5000) and P at (0.6667, 0.3333, 0.5000).

---

two.
VASP calculation (GGA-PBE) on an optimized crystal structure of BaBeP.

The spin magnetization comes out at 0.01 μB per formula unit.

The space group is Fmm2 (No. 42) and the conventional cell measures 4.795, 4.806 and 11.301 Å, with angles of 90.00, 90.00 and 90.00 degrees. The inequivalent atoms are Ba at (0.000, 0.000, 0.000), Be at (0.000, 0.000, 0.272) and P at (0.000, 0.000, 0.725).

---

So which one wins? Going from most stable to least: one, two.

---

one.
VASP calculation (GGA-PBE) on an optimized crystal structure of BaBe3P.

The spin magnetization comes out at 0.00 μB per formula unit.

The space group is Pm-3m (No. 221) and the conventional cell measures 4.498, 4.498 and 4.498 Å, with angles of 90.00, 90.00 and 90.00 degrees. The inequivalent atoms are Ba at (0.000, 0.000, 0.000), Be at (0.000, 0.500, 0.500) and P at (0.500, 0.500, 0.500).

---

two.
VASP calculation (GGA-PBE) on an optimized crystal structure of BaBe3P.

The spin magnetization comes out at 0.00 μB per formula unit.

The space group is Pm-3m (No. 221) and the conventional cell measures 5.140, 5.140 and 5.140 Å, with angles of 90.00, 90.00 and 90.00 degrees. The inequivalent atoms are Ba at (0.000, 0.000, 0.000), Be at (0.000, 0.000, 0.500) and P at (0.500, 0.500, 0.500).

---

So which one wins? Going from most stable to least: one, two.

---

one.
VASP calculation (GGA-PBE) on an optimized crystal structure of BaBeP3.

The spin magnetization comes out at 0.00 μB per formula unit.

The space group is Pm-3m (No. 221) and the conventional cell measures 5.679, 5.679 and 5.679 Å, with angles of 90.00, 90.00 and 90.00 degrees. The inequivalent atoms are Ba at (0.000, 0.000, 0.000), Be at (0.500, 0.500, 0.500) and P at (0.000, 0.000, 0.500).

---

two.
VASP calculation (GGA-PBE) on an optimized crystal structure of BaBeP3.

The spin magnetization comes out at 0.00 μB per formula unit.

The space group is Pm-3m (No. 221) and the conventional cell measures 4.624, 4.624 and 4.624 Å, with angles of 90.00, 90.00 and 90.00 degrees. The inequivalent atoms are Ba at (0.000, 0.000, 0.000), Be at (0.500, 0.500, 0.500) and P at (0.000, 0.500, 0.500).

---

So which one wins? Going from most stable to least: two, one.

---

one.
VASP calculation (GGA-PBE) on an optimized crystal structure of BaBePd.

The spin magnetization comes out at 0.00 μB per formula unit.

The space group is P-6m2 (No. 187) and the conventional cell measures 4.1124, 4.1124 and 4.9433 Å, with angles of 90.00, 90.00 and 120.00 degrees. The inequivalent atoms are Ba at (0.0000, 0.0000, 0.0000), Be at (0.3333, 0.6667, 0.5000) and Pd at (0.6667, 0.3333, 0.5000).

---

two.
VASP calculation (GGA-PBE) on an optimized crystal structure of BaBePd.

The spin magnetization comes out at 0.00 μB per formula unit.

The space group is P1 (No. 1) and the conventional cell measures 4.509, 6.105 and 6.111 Å, with angles of 105.97, 92.48 and 92.98 degrees. The inequivalent atoms are Ba at (0.000, 0.000, 0.000), Ba at (0.500, 0.381, 0.616), Be at (0.318, 0.581, 0.181), Be at (0.670, 0.818, 0.418), Pd at (0.177, 0.854, 0.478) and Pd at (0.810, 0.521, 0.144).

---

three.
VASP calculation (GGA-PBE) on an optimized crystal structure of BaBePd.

The spin magnetization comes out at 0.00 μB per formula unit.

The space group is C2/m (No. 12) and the conventional cell measures 12.291, 3.998 and 6.384 Å, with angles of 90.00, 110.12 and 90.00 degrees. The inequivalent atoms are Ba at (0.097, 0.000, 0.303), Be at (0.219, 0.000, 0.905) and Pd at (0.134, 0.500, 0.764).

---

So which one wins? Going from most stable to least: three, two, one.

---

one.
VASP calculation (GGA-PBE) on an optimized crystal structure of BaBe3Pd.

The spin magnetization comes out at 0.00 μB per formula unit.

The space group is Pm-3m (No. 221) and the conventional cell measures 4.527, 4.527 and 4.527 Å, with angles of 90.00, 90.00 and 90.00 degrees. The inequivalent atoms are Ba at (0.000, 0.000, 0.000), Be at (0.000, 0.500, 0.500) and Pd at (0.500, 0.500, 0.500).

---

two.
VASP calculation (GGA-PBE) on an optimized crystal structure of BaBe3Pd.

The spin magnetization comes out at 0.00 μB per formula unit.

The space group is Pm-3m (No. 221) and the conventional cell measures 4.994, 4.994 and 4.994 Å, with angles of 90.00, 90.00 and 90.00 degrees. The inequivalent atoms are Ba at (0.000, 0.000, 0.000), Be at (0.000, 0.000, 0.500) and Pd at (0.500, 0.500, 0.500).

---

So which one wins? Going from most stable to least: one, two.

---

one.
VASP calculation (GGA-PBE) on an optimized crystal structure of BaBe2Pd.

The spin magnetization comes out at 0.00 μB per formula unit.

The space group is I4_1/amd (No. 141, origin choice 2) and the conventional cell measures 5.030, 5.030 and 14.558 Å, with angles of 90.00, 90.00 and 90.00 degrees. The inequivalent atoms are Ba at (0.000, 0.250, 0.375), Be at (0.000, 0.000, 0.000) and Pd at (0.000, 0.250, 0.875).

---

two.
VASP calculation (GGA-PBE) on an optimized crystal structure of BaBe2Pd.

The spin magnetization comes out at 0.00 μB per formula unit.

The space group is Fm-3m (No. 225) and the conventional cell measures 6.809, 6.809 and 6.809 Å, with angles of 90.00, 90.00 and 90.00 degrees. The inequivalent atoms are Ba at (0.000, 0.000, 0.000), Be at (0.250, 0.250, 0.250) and Pd at (0.000, 0.000, 0.500).

---

So which one wins? Going from most stable to least: one, two.

---

one.
VASP calculation (GGA-PBE) on an optimized crystal structure of BaBe2Pt.

The spin magnetization comes out at 0.00 μB per formula unit.

The space group is R3m (No. 160, hexagonal axes) and the conventional cell measures 4.0359, 4.0359 and 17.5856 Å, with angles of 90.00, 90.00 and 120.00 degrees. The inequivalent atoms are Ba at (0.0000, 0.0000, 0.0000), Be at (0.0000, 0.0000, 0.5065), Be at (0.0000, 0.0000, 0.8249) and Pt at (0.0000, 0.0000, 0.1829).

---

two.
VASP calculation (GGA-PBE) on an optimized crystal structure of BaBe2Pt.

The spin magnetization comes out at 0.00 μB per formula unit.

The space group is Pmmm (No. 47) and the conventional cell measures 4.048, 4.421 and 4.793 Å, with angles of 90.00, 90.00 and 90.00 degrees. The inequivalent atoms are Ba at (0.000, 0.000, 0.000), Be at (0.000, 0.500, 0.500), Be at (0.500, 0.000, 0.500) and Pt at (0.500, 0.500, 0.000).

---

three.
VASP calculation (GGA-PBE) on an optimized crystal structure of BaBe2Pt.

The spin magnetization comes out at 0.00 μB per formula unit.

The space group is Fm-3m (No. 225) and the conventional cell measures 6.687, 6.687 and 6.687 Å, with angles of 90.00, 90.00 and 90.00 degrees. The inequivalent atoms are Ba at (0.000, 0.000, 0.000), Be at (0.250, 0.250, 0.250) and Pt at (0.000, 0.000, 0.500).

---

four.
VASP calculation (GGA-PBE) on an optimized crystal structure of BaBe2Pt.

The spin magnetization comes out at 0.00 μB per formula unit.

The space group is I4_1/amd (No. 141, origin choice 2) and the conventional cell measures 5.084, 5.084 and 14.255 Å, with angles of 90.00, 90.00 and 90.00 degrees. The inequivalent atoms are Ba at (0.000, 0.250, 0.375), Be at (0.000, 0.000, 0.000) and Pt at (0.000, 0.250, 0.875).

---

So which one wins? Going from most stable to least: one, four, three, two.

---

one.
VASP calculation (GGA-PBE) on an optimized crystal structure of BaBe2Pt.

The spin magnetization comes out at 0.00 μB per formula unit.

The space group is Pm (No. 6) and the conventional cell measures 4.448, 3.956 and 5.239 Å, with angles of 90.00, 90.11 and 90.00 degrees. The inequivalent atoms are Ba at (0.000, 0.000, 0.000), Be at (0.235, 0.500, 0.500), Be at (0.518, 0.000, 0.500) and Pt at (0.735, 0.500, 0.500).

---

two.
VASP calculation (GGA-PBE) on an optimized crystal structure of BaBe2Pt.

The spin magnetization comes out at 0.00 μB per formula unit.

The space group is Pmmm (No. 47) and the conventional cell measures 3.113, 3.164 and 7.251 Å, with angles of 90.00, 90.00 and 90.00 degrees. The inequivalent atoms are Ba at (0.000, 0.000, 0.000), Be at (0.500, 0.500, 0.351) and Pt at (0.000, 0.000, 0.500).

---

So which one wins? Going from most stable to least: one, two.